Run 1
Density functional theory data (GGA-PBE) for a relaxed structure of Sc4Pb.

Computed properties:
SG = I4/mmm (139)
D(E_F) = 7.2 states/eV/f.u.
total magnetic moment = 0.000 μB per atom
crystal system = tetragonal

abc: 8.2654 8.2654 8.2654
angles: 151.26 151.26 41.09
With the nearest neighbours (Å) after each atom.
Positions (direct):
Sc1 0.7500 0.2500 0.5000  8 Sc 2.90-3.22
Sc2 0.2500 0.7500 0.5000  8 Sc 2.90-3.22
Sc3 0.5895 0.5895 0.0000  1 Sc 2.77
Sc4 0.4105 0.4105 0.0000  1 Sc 2.77
Pb1 0.0000 0.0000 0.0000  8 Sc 3.21

=====

Run 2
Density functional theory data (GGA-PBE) for a relaxed structure of Sc4Pb.

Computed properties:
SG = Pm-3m (221)
D(E_F) = 10.8 states/eV/f.u.
total magnetic moment = 0.390 μB per atom
crystal system = cubic

abc: 5.4208 5.4208 5.4208
angles: 90.00 90.00 90.00
With the nearest neighbours (Å) after each atom.
Positions (direct):
Pb1 0.5000 0.5000 0.5000  6 Sc 2.71
Sc1 0.0000 0.0000 0.0000  12 Sc 3.83
Sc2 0.5000 0.0000 0.5000  2 Pb 2.71
Sc3 0.0000 0.5000 0.5000  2 Pb 2.71
Sc4 0.5000 0.5000 0.0000  2 Pb 2.71

=====

Run 3
Density functional theory data (GGA-PBE) for a relaxed structure of Sc4Pb.

Computed properties:
SG = Imma (74)
D(E_F) = 8.3 states/eV/f.u.
total magnetic moment = 0.133 μB per atom
crystal system = orthorhombic

abc: 4.9302 6.3189 8.5812
angles: 111.60 106.69 90.00
With the nearest neighbours (Å) after each atom.
Positions (direct):
Sc1 0.1090 0.3590 0.2180  3 Pb 3.16-3.32, 10 Sc 3.21-3.36
Sc2 0.8910 0.6410 0.7820  3 Pb 3.16-3.32, 10 Sc 3.21-3.36
Sc3 0.5000 0.0000 0.0000  4 Sc 3.00-3.16
Sc4 0.5000 0.5000 0.0000  4 Sc 3.00-3.16
Sc5 0.6976 0.2024 0.3953  7 Sc 2.93-3.22, 2 Pb 3.23
Sc6 0.3024 0.7976 0.6047  7 Sc 2.93-3.22, 2 Pb 3.23
Sc7 0.3024 0.3072 0.6047  7 Sc 2.93-3.22, 2 Pb 3.23
Sc8 0.6976 0.6928 0.3953  7 Sc 2.93-3.22, 2 Pb 3.23
Pb1 0.8904 0.1404 0.7807  13 Sc 3.16-3.37
Pb2 0.1096 0.8596 0.2193  13 Sc 3.16-3.37

=====

Referenced to the most stable arrangement, the calculated values in eV/atom are run 1 0.398; run 2 0.683; run 3 0.000.

=====

Run 1
Density functional theory data (GGA-PBE) for a relaxed structure of Sc2Pb3.

Computed properties:
SG = P-3m1 (164)
D(E_F) = 3.9 states/eV/f.u.
total magnetic moment = 0.001 μB per atom
crystal system = trigonal

abc: 5.1123 5.1123 6.2529
angles: 90.00 90.00 120.00
With the nearest neighbours (Å) after each atom.
Positions (direct):
Sc1 0.6667 0.3333 0.1267  8 Pb 3.06-3.33, 3 Sc 3.35
Sc2 0.3333 0.6667 0.8733  8 Pb 3.06-3.33, 3 Sc 3.35
Pb1 0.0000 0.0000 0.0000  6 Sc 3.06
Pb2 0.6667 0.3333 0.6252  5 Sc 3.12-3.33, 3 Pb 3.34
Pb3 0.3333 0.6667 0.3748  5 Sc 3.12-3.33, 3 Pb 3.34

=====

Run 2
Density functional theory data (GGA-PBE) for a relaxed structure of Sc2Pb3.

Computed properties:
SG = Fddd (70)
D(E_F) = 3.4 states/eV/f.u.
total magnetic moment = 0.000 μB per atom
crystal system = orthorhombic

abc: 6.3411 6.3411 8.4031
angles: 101.33 101.33 118.65
With the nearest neighbours (Å) after each atom.
Positions (direct):
Sc1 0.9621 0.9621 0.9242  7 Pb 3.05-3.25
Sc2 0.7121 0.2121 0.4242  7 Pb 3.05-3.25
Sc3 0.5527 0.5527 0.1055  7 Pb 3.05-3.25
Sc4 0.3027 0.8027 0.6055  7 Pb 3.05-3.25
Pb1 0.1324 0.8824 0.2649  4 Sc 3.05-3.08, 4 Pb 3.17-3.39
Pb2 0.1324 0.3825 0.7649  4 Sc 3.05-3.08, 4 Pb 3.17-3.39
Pb3 0.6324 0.3824 0.7649  4 Sc 3.05-3.08, 4 Pb 3.17-3.39
Pb4 0.1325 0.3824 0.2649  4 Sc 3.05-3.08, 4 Pb 3.17-3.39
Pb5 0.5074 0.0074 0.0149  6 Sc 3.17-3.25, 4 Pb 3.39
Pb6 0.7574 0.7574 0.5149  6 Sc 3.17-3.25, 4 Pb 3.39

=====

Referenced to the most stable arrangement, the calculated values in eV/atom are run 1 0.000; run 2 0.017.

=====

Run 1
Density functional theory data (GGA-PBE) for a relaxed structure of ScPb4.

Computed properties:
SG = Im-3m (229)
D(E_F) = 2.3 states/eV/f.u.
total magnetic moment = 0.000 μB per atom
crystal system = cubic

abc: 5.9451 5.9451 5.9451
angles: 109.47 109.47 109.47
With the nearest neighbours (Å) after each atom.
Positions (direct):
Pb1 0.0000 0.5000 0.0000  2 Sc 2.97
Pb2 0.5000 0.5000 0.5000  2 Sc 2.97
Pb3 0.0000 0.0000 0.5000  2 Sc 2.97
Pb4 0.5000 0.0000 0.0000  2 Sc 2.97
Sc1 0.0000 0.0000 0.0000  8 Pb 2.97

=====

Run 2
Density functional theory data (GGA-PBE) for a relaxed structure of ScPb4.

Computed properties:
SG = I4/m (87)
D(E_F) = 3.3 states/eV/f.u.
total magnetic moment = 0.000 μB per atom
crystal system = tetragonal

abc: 6.0308 6.0308 6.0308
angles: 98.26 98.26 135.44
With the nearest neighbours (Å) after each atom.
Positions (direct):
Sc1 0.0000 0.0000 0.0000  12 Pb 3.37-3.49
Pb1 0.2066 0.6089 0.8155  8 Pb 3.26-3.49, 3 Sc 3.37-3.49
Pb2 0.6089 0.7934 0.4023  8 Pb 3.26-3.49, 3 Sc 3.37-3.49
Pb3 0.7934 0.3911 0.1845  8 Pb 3.26-3.49, 3 Sc 3.37-3.49
Pb4 0.3911 0.2066 0.5977  8 Pb 3.26-3.49, 3 Sc 3.37-3.49

=====

Referenced to the most stable arrangement, the calculated values in eV/atom are run 1 0.000; run 2 0.019.